5
Lattice="-0.0663 1.1610 -3.7169 3.2887 -1.9739 -0.6752 -0.9929 -4.3405 -3.3785" Properties=species:S:1:pos:R:3 comment="Mn2Mo2Os (PBE, relaxed)" final_energy_ev_per_fu=-47.6 spacegroup="I4/mmm (139)" e_above_lowest_polymorph_ev_per_atom=0.494 dos_at_fermi_per_ev_fu=6.9 pbc="T T T"
Os 0.0000 0.0000 0.0000
Mo 1.9535 -3.3605 -3.1249
Mn 1.0725 -1.2202 -2.4407
Mn 1.1570 -3.9332 -5.3300
Mo 0.2760 -1.7930 -4.6457